## KRbSrAu2 (meta-GGA SCAN)

Data for a crystal of KRbSrAu2 relaxed with PBEsol.

Its formation enthalpy at 0 K is 0.14 eV per formula unit. The space group is P4/mmm. The calculation puts the magnetic moment at 0.0 Bohr magnetons per cell.

Cell: 5.8218 5.8218 6.6299 Å, 90.00 90.00 90.00°
Element x y z (fractional)
K: 0.0000 0.0000 0.0000
Rb: 0.5000 0.5000 0.0000
Sr: 0.0000 0.0000 0.5000
Au: 0.0000 0.5000 0.5000
Au: 0.5000 0.0000 0.5000